No. 1
# AcTb2Si4 (GGA-PBE, optimized geometry)
# - formation energy (no corrections) (meV per atom) = -713
# - VASP energy (eV/atom) = -5.72
data_AcTb2Si4
_chemical_formula_sum 'Ac2 Tb4 Si8'
_space_group_name_H-M_alt 'I m m m'
_space_group_IT_number 71
_space_group_name_Hall '-I 2 2'
_cell_length_a 3.953
_cell_length_b 4.496
_cell_length_c 17.729
_cell_angle_alpha 90.00
_cell_angle_beta 90.00
_cell_angle_gamma 90.00
loop_
_atom_site_label
_atom_site_type_symbol
_atom_site_fract_x
_atom_site_fract_y
_atom_site_fract_z
Ac1 Ac 0.000 0.000 0.000
Tb1 Tb 0.000 0.500 0.317
Si1 Si 0.000 0.000 0.431
Si2 Si 0.000 0.500 0.151

No. 2
# Ac2TbSi (GGA-PBE, optimized geometry)
# - formation energy (no corrections) (meV per atom) = 186
# - excess energy over the best structure of this formula in the dataset (meV per atom) = 271
# - VASP energy (eV/atom) = -4.38
data_Ac2TbSi
_chemical_formula_sum 'Ac6 Tb3 Si3'
_space_group_name_H-M_alt 'R -3 m'
_space_group_IT_number 166
_space_group_name_Hall '-R 3 2"'
_cell_length_a 4.1285
_cell_length_b 4.1285
_cell_length_c 33.0031
_cell_angle_alpha 90.00
_cell_angle_beta 90.00
_cell_angle_gamma 120.00
loop_
_atom_site_label
_atom_site_type_symbol
_atom_site_fract_x
_atom_site_fract_y
_atom_site_fract_z
Ac1 Ac 0.0000 0.0000 0.1103
Tb1 Tb 0.0000 0.0000 0.0000
Si1 Si 0.0000 0.0000 0.5000